[1]
## NiIrAu2 (GGA-PBE)

Data for a geometry-optimized NiIrAu2 structure.

a = 2.775 Å, b = 2.775 Å, c = 9.406 Å
α = 90.00°, β = 90.00°, γ = 119.40°
Each line ends with the local moment (μB).
Fractional coordinates of all 4 atoms:
Au 0.000 0.000 0.987  0.03
Au 0.000 0.000 0.513  0.03
Ir 0.500 0.500 0.250  0.44
Ni 0.500 0.500 0.750  0.63

**Magnetization**: 1.12 μB/cell
**SG**: Cmmm, No. 65
**Energy of formation**: 0.359 eV/atom
**Distance to the lowest polymorph of the same formula**: 0.201 eV/atom
**Calculated total energy**: -4.94 eV per atom
**Density of states at the Fermi level**: 5.68 states/eV/f.u.

[2]
## NiIr2Au (GGA-PBE)

Data for a geometry-optimized NiIr2Au structure.

a = 3.931 Å, b = 3.848 Å, c = 3.848 Å
α = 90.00°, β = 90.00°, γ = 90.00°
Fractional coordinates of all 4 atoms:
Au 0.500 0.000 0.500
Ir 0.000 0.000 0.000
Ir 0.000 0.500 0.500
Ni 0.500 0.500 0.000

**Magnetization**: 0.00 μB/cell
**SG**: P4/mmm, No. 123
**Energy of formation**: 0.334 eV/atom
**Distance to the lowest polymorph of the same formula**: 0.209 eV/atom
**Calculated total energy**: -6.36 eV per atom
**Density of states at the Fermi level**: 5.32 states/eV/f.u.

[3]
## NiIrAu4 (GGA-PBE)

Data for a geometry-optimized NiIrAu4 structure.

a = 5.362 Å, b = 5.362 Å, c = 5.362 Å
α = 60.00°, β = 60.00°, γ = 60.00°
Each line ends with the local moment (μB).
Fractional coordinates of all 6 atoms:
Ni 0.000 0.000 0.000  0.71
Ir 0.250 0.250 0.250  0.41
Au 0.625 0.625 0.625  0.00
Au 0.625 0.625 0.125  0.00
Au 0.625 0.125 0.625  0.00
Au 0.125 0.625 0.625  0.00

**Magnetization**: 1.10 μB/cell
**SG**: F-43m, No. 216
**Energy of formation**: 0.736 eV/atom
**Calculated total energy**: -3.89 eV per atom
**Density of states at the Fermi level**: 10.28 states/eV/f.u.

[4]
## NiIr2Au (GGA-PBE)

Data for a geometry-optimized NiIr2Au structure.

a = 2.737 Å, b = 2.737 Å, c = 9.269 Å
α = 90.00°, β = 90.00°, γ = 120.33°
Each line ends with the local moment (μB).
Fractional coordinates of all 4 atoms:
Au 0.500 0.500 0.737  0.00
Ir 0.000 0.000 0.014  -0.02
Ir 0.500 0.500 0.259  0.01
Ni 0.000 0.000 0.489  0.19

**Magnetization**: 0.17 μB/cell
**SG**: Cmm2, No. 35
**Energy of formation**: 0.313 eV/atom
**Distance to the lowest polymorph of the same formula**: 0.188 eV/atom
**Calculated total energy**: -6.38 eV per atom
**Density of states at the Fermi level**: 4.95 states/eV/f.u.

> Which formula does entry 3 have?

NiIrAu4